Here is a relaxed Pd3Pt2 crystal from Alexandria via LeMat-Bulk. Energies are from PBE.

POSCAR file:
```
Pd3Pt2
1.0
2.611 1.507 3.546
-2.611 1.507 3.546
0.000 -3.015 3.546
Pd Pt
3 2
Cartesian
-1.305 -0.754 3.546
-1.305 0.754 7.091
0.000 1.507 3.546
0.000 0.000 1.310
0.000 0.000 9.327
```

Computed properties:
DOS(E_F) = 8.5 states/eV/f.u.
relative energy among the computed polymorphs = 266 meV per atom
volume = 83.7 Å³/cell
calculated formation energy = 0.2384 eV per atom
raw total energy = -5.294 eV/atom